Record 1
The following is a DFT calculation (PBE) of a relaxed structure of LiCu2B.

Unit cell a=5.4669 b=5.4669 c=5.4669 alpha=90.00 beta=90.00 gamma=90.00
Last column: nearest neighbours and their distance in Å.
Sites, in units of the cell vectors:
Li: 0.5000 0.0000 0.5000  8 Cu 2.45, 2 Li 2.73, 4 B 2.73
Li: 0.5000 0.5000 0.5000  8 Cu 2.58, 6 Li 2.73
Li: 0.5000 0.5000 0.0000  8 Cu 2.45, 2 Li 2.73, 4 B 2.73
Li: 0.0000 0.5000 0.5000  8 Cu 2.45, 2 Li 2.73, 4 B 2.73
Cu: 0.2272 0.7728 0.7728  4 B 2.15-2.30
Cu: 0.2272 0.2272 0.2272  4 B 2.15-2.30
Cu: 0.2272 0.7728 0.2272  4 B 2.15-2.30
Cu: 0.7728 0.2272 0.7728  4 B 2.15-2.30
Cu: 0.7728 0.7728 0.7728  4 B 2.15-2.30
Cu: 0.7728 0.7728 0.2272  4 B 2.15-2.30
Cu: 0.2272 0.2272 0.7728  4 B 2.15-2.30
Cu: 0.7728 0.2272 0.2272  4 B 2.15-2.30
B: 0.0000 0.5000 0.0000  8 Cu 2.30
B: 0.0000 0.0000 0.5000  8 Cu 2.30
B: 0.5000 0.0000 0.0000  8 Cu 2.30
B: 0.0000 0.0000 0.0000  8 Cu 2.15

## Properties
Energy (eV per atom): -3.752
Volume (Å³/atom): 10.21
Symmetry: Pm-3m

=====

Record 2
The following is a DFT calculation (PBE) of a relaxed structure of PrDyZn2Ge2.

Unit cell a=4.2834 b=4.2834 c=16.1993 alpha=90.00 beta=90.00 gamma=120.00
Last column: nearest neighbours and their distance in Å.
Sites, in units of the cell vectors:
Zn: 0.6667 0.3333 0.3489  3 Ge 2.53
Zn: 0.6667 0.3333 0.1511  3 Ge 2.53
Zn: 0.3333 0.6667 0.8489  3 Ge 2.53
Zn: 0.3333 0.6667 0.6511  3 Ge 2.53
Ge: 0.3333 0.6667 0.3807  3 Zn 2.53
Ge: 0.6667 0.3333 0.6193  3 Zn 2.53
Ge: 0.6667 0.3333 0.8807  3 Zn 2.53
Ge: 0.3333 0.6667 0.1193  3 Zn 2.53
Dy: 0.0000 0.0000 0.7500  6 Zn 2.95, 6 Ge 3.26
Dy: 0.0000 0.0000 0.2500  6 Zn 2.95, 6 Ge 3.26
Pr: 0.0000 0.0000 0.5000  6 Ge 3.14, 6 Zn 3.48
Pr: 0.0000 0.0000 0.0000  6 Ge 3.14, 6 Zn 3.48

## Properties
Energy (eV per atom): -4.214
Volume (Å³/atom): 21.45
Symmetry: P6_3/mmc

=====

Record 3
The following is a DFT calculation (PBE) of a relaxed structure of Cu2Ag3.

Unit cell a=4.8749 b=2.8468 c=11.3764 alpha=90.00 beta=97.22 gamma=90.00
Last column: nearest neighbours and their distance in Å.
Sites, in units of the cell vectors:
Cu: 0.1043 0.5000 0.8041  7 Cu 2.58-2.85, 5 Ag 2.73-2.87
Cu: 0.2049 0.0000 0.6174  4 Cu 2.65-2.85, 7 Ag 2.74-2.89
Cu: 0.0188 0.0000 0.9851  6 Cu 2.58-2.85, 4 Ag 2.66-2.79
Cu: 0.4715 0.5000 0.9953  5 Cu 2.62-2.85, 5 Ag 2.66-2.72
Ag: 0.3940 0.0000 0.1914  3 Cu 2.71-2.79, 9 Ag 2.81-2.97
Ag: 0.7169 0.5000 0.6089  5 Cu 2.73-2.89, 7 Ag 2.84-2.87
Ag: 0.2980 0.5000 0.4118  10 Ag 2.79-3.12, 2 Cu 2.82
Ag: 0.5968 0.0000 0.8120  8 Cu 2.66-2.87, 4 Ag 2.84-2.85
Ag: 0.8019 0.0000 0.3970  11 Ag 2.79-2.96, 1 Cu 2.98
Ag: 0.8929 0.5000 0.1770  3 Cu 2.72-2.74, 8 Ag 2.81-2.96

## Properties
Energy (eV per atom): -3.090
Volume (Å³/atom): 15.66
Symmetry: Pm

=====

Record 4
The following is a DFT calculation (PBE) of a relaxed structure of PaTcAg.

Unit cell a=4.5679 b=4.5679 c=4.5679 alpha=60.00 beta=60.00 gamma=60.00
Last column: nearest neighbours and their distance in Å.
Sites, in units of the cell vectors:
Tc: 0.7500 0.7500 0.7500  4 Ag 2.80
Ag: 0.0000 0.0000 0.0000  4 Tc 2.80, 4 Pa 2.80
Pa: 0.2500 0.2500 0.2500  4 Ag 2.80

## Properties
Energy (eV per atom): -6.780
Volume (Å³/atom): 22.46
Symmetry: F-43m